An optimized crystal structure of MnAs2IrF. Source: Alexandria via LeMat-Bulk, functional PBE with a Hubbard U.

The structure belongs to space group P4/mmm (No. 123); the cell edges are 4.501, 4.501 and 4.506 Å and the angles 90.00°, 90.00° and 90.00°. The distinct sites, in fractional coordinates, are Mn at (0.000, 0.000, 0.000), As at (0.000, 0.500, 0.000), Ir at (0.000, 0.000, 0.500) and F at (0.500, 0.500, 0.500).

As for the raw total energy: -0.159 hartree per atom.